No. 1
{
  "formula": "AcRe3B3",
  "functional": "PBE",
  "state": "relaxed",
  "lattice": [[8.7415, 0.0000, 0.0000], [-4.3708, 7.5704, 0.0000], [0.0000, 0.0000, 3.0037]],
  "species": ["Ac", "Ac", "Re", "Re", "Re", "Re", "Re", "Re", "B", "B", "B", "B", "B", "B"],
  "frac_coords": [[0.3333, 0.6667, 0.2500], [0.6667, 0.3333, 0.7500], [0.0207, 0.7386, 0.7500], [0.2614, 0.2822, 0.7500], [0.2822, 0.0207, 0.2500], [0.7178, 0.9793, 0.7500], [0.7386, 0.7178, 0.2500], [0.9793, 0.2614, 0.2500], [0.0243, 0.4711, 0.7500], [0.4468, 0.9757, 0.7500], [0.4711, 0.4468, 0.2500], [0.5289, 0.5532, 0.7500], [0.5532, 0.0243, 0.2500], [0.9757, 0.5289, 0.2500]],
  "total_magnetization_mub_per_fu": 0.00,
  "formation_enthalpy_0k_mev_per_atom": 172,
  "dft_energy_ev_per_atom": -8.6119
}

***

No. 2
{
  "formula": "AcRe2B2",
  "functional": "PBE",
  "state": "relaxed",
  "lattice": [[-2.0675, 2.0675, 5.3111], [2.0675, -2.0675, 5.3111], [2.0675, 2.0675, -5.3111]],
  "species": ["Ac", "Re", "Re", "B", "B"],
  "frac_coords": [[0.0000, 0.0000, 0.0000], [0.2500, 0.7500, 0.5000], [0.7500, 0.2500, 0.5000], [0.3065, 0.3065, 0.0000], [0.6935, 0.6935, 0.0000]],
  "total_magnetization_mub_per_fu": 0.00,
  "formation_enthalpy_0k_mev_per_atom": -151,
  "dft_energy_ev_per_atom": -8.6231
}

***

No. 3
{
  "formula": "Ac3ReB7",
  "functional": "PBE",
  "state": "relaxed",
  "lattice": [[1.8594, -8.4781, 0.0000], [1.8594, 8.4781, 0.0000], [0.0000, 0.0000, 10.4187]],
  "species": ["Ac", "Ac", "Ac", "Ac", "Ac", "Ac", "Re", "Re", "B", "B", "B", "B", "B", "B", "B", "B", "B", "B", "B", "B", "B", "B"],
  "frac_coords": [[0.0966, 0.9034, 0.5566], [0.0966, 0.9034, 0.9434], [0.2554, 0.7446, 0.2500], [0.7446, 0.2554, 0.7500], [0.9034, 0.0966, 0.0566], [0.9034, 0.0966, 0.4434], [0.0671, 0.9329, 0.2500], [0.9329, 0.0671, 0.7500], [0.2724, 0.7276, 0.5338], [0.2724, 0.7276, 0.9662], [0.3579, 0.6421, 0.6577], [0.3579, 0.6421, 0.8423], [0.4606, 0.5394, 0.6300], [0.4606, 0.5394, 0.8700], [0.4730, 0.5270, 0.2500], [0.5270, 0.4730, 0.7500], [0.5394, 0.4606, 0.1300], [0.5394, 0.4606, 0.3700], [0.6421, 0.3579, 0.1577], [0.6421, 0.3579, 0.3423], [0.7276, 0.2724, 0.0338], [0.7276, 0.2724, 0.4662]],
  "total_magnetization_mub_per_fu": 0.00,
  "formation_enthalpy_0k_mev_per_atom": -135,
  "dft_energy_ev_per_atom": -6.6365
}

***

No. 4
{
  "formula": "Ac2Re2Si2B",
  "functional": "PBE",
  "state": "relaxed",
  "lattice": [[5.8445, -2.1224, 0.0000], [5.8445, 2.1224, 0.0000], [-4.5093, 0.0000, 6.0754]],
  "species": ["Ac", "Ac", "Re", "Re", "Si", "Si", "B"],
  "frac_coords": [[0.0673, 0.0673, 0.3128], [0.9327, 0.9327, 0.6872], [0.2970, 0.2970, 0.9141], [0.7030, 0.7030, 0.0859], [0.3238, 0.3238, 0.2606], [0.6762, 0.6762, 0.7394], [0.5000, 0.5000, 0.0000]],
  "e_form_raw_ev_per_fu": -2.845,
  "total_magnetization_mub_per_fu": 0.00,
  "dft_energy_ev_per_atom": -7.6403
}

***

No. 5
{
  "formula": "AcRe2Si2B",
  "functional": "PBE",
  "state": "relaxed",
  "lattice": [[4.2865, 0.0000, 0.0000], [0.0000, 4.2865, 0.0000], [0.0000, 0.0000, 5.5449]],
  "species": ["Ac", "Re", "Re", "Si", "Si", "B"],
  "frac_coords": [[0.0000, 0.0000, 0.0000], [0.0000, 0.5000, 0.5000], [0.5000, 0.0000, 0.5000], [0.5000, 0.5000, 0.2426], [0.5000, 0.5000, 0.7574], [0.0000, 0.0000, 0.5000]],
  "e_form_raw_ev_per_fu": -2.679,
  "total_magnetization_mub_per_fu": 0.00,
  "dft_energy_ev_per_atom": -8.2011
}

***

No. 6
{
  "formula": "AcB4Rh6",
  "functional": "PBE",
  "state": "relaxed",
  "lattice": [[5.7977, 0.0000, 0.0000], [2.7742, 5.1279, 0.0000], [2.7818, 1.6770, 5.2780]],
  "species": ["Ac", "B", "B", "B", "B", "Rh", "Rh", "Rh", "Rh", "Rh", "Rh"],
  "frac_coords": [[0.0000, 0.0000, 0.0000], [0.4174, 0.4423, 0.6834], [0.6423, 0.8521, 0.6005], [0.7063, 0.5847, 0.1319], [0.8634, 0.0370, 0.5402], [0.0403, 0.3180, 0.2819], [0.4626, 0.8002, 0.4119], [0.5001, 0.2864, 0.4078], [0.5013, 0.5395, 0.9156], [0.5194, 0.0389, 0.9101], [0.9917, 0.6311, 0.7524]],
  "total_magnetization_mub_per_fu": 0.00,
  "formation_enthalpy_0k_mev_per_atom": -382,
  "dft_energy_ev_per_atom": -7.1935
}

***

No. 7
{
  "formula": "AcB4Rh5",
  "functional": "PBE",
  "state": "relaxed",
  "lattice": [[5.9369, 0.0000, 0.0000], [0.0000, 9.0891, 0.0000], [0.0000, 0.0000, 5.0420]],
  "species": ["Ac", "Ac", "B", "B", "B", "B", "B", "B", "B", "B", "Rh", "Rh", "Rh", "Rh", "Rh", "Rh", "Rh", "Rh", "Rh", "Rh"],
  "frac_coords": [[0.2500, 0.2500, 0.2398], [0.7500, 0.7500, 0.7602], [0.1021, 0.7500, 0.3034], [0.2500, 0.6021, 0.5214], [0.2500, 0.8979, 0.5214], [0.3979, 0.7500, 0.3034], [0.6021, 0.2500, 0.6966], [0.7500, 0.1021, 0.4786], [0.7500, 0.3979, 0.4786], [0.8979, 0.2500, 0.6966], [0.0154, 0.0410, 0.7553], [0.0154, 0.4590, 0.7553], [0.2500, 0.7500, 0.8960], [0.4846, 0.0410, 0.7553], [0.4846, 0.4590, 0.7553], [0.5154, 0.5410, 0.2447], [0.5154, 0.9590, 0.2447], [0.7500, 0.2500, 0.1040], [0.9846, 0.5410, 0.2447], [0.9846, 0.9590, 0.2447]],
  "total_magnetization_mub_per_fu": 0.00,
  "formation_enthalpy_0k_mev_per_atom": -323,
  "dft_energy_ev_per_atom": -7.0810
}

***

No. 8
{
  "formula": "Ac4BRh4",
  "functional": "PBE",
  "state": "relaxed",
  "lattice": [[8.5479, 0.0000, 0.0000], [0.0000, 8.5479, 0.0000], [0.0000, 0.0000, 6.2585]],
  "species": ["Ac", "Ac", "Ac", "Ac", "Ac", "Ac", "Ac", "Ac", "B", "B", "Rh", "Rh", "Rh", "Rh", "Rh", "Rh", "Rh", "Rh"],
  "frac_coords": [[0.0159, 0.2500, 0.0664], [0.2500, 0.0159, 0.5664], [0.2500, 0.4841, 0.5664], [0.4841, 0.2500, 0.0664], [0.5159, 0.7500, 0.9336], [0.7500, 0.5159, 0.4336], [0.7500, 0.9841, 0.4336], [0.9841, 0.7500, 0.9336], [0.2500, 0.7500, 0.2500], [0.7500, 0.2500, 0.7500], [0.0372, 0.7500, 0.4221], [0.2500, 0.5372, 0.0779], [0.2500, 0.9628, 0.0779], [0.4628, 0.7500, 0.4221], [0.5372, 0.2500, 0.5779], [0.7500, 0.0372, 0.9221], [0.7500, 0.4628, 0.9221], [0.9628, 0.2500, 0.5779]],
  "total_magnetization_mub_per_fu": 0.00,
  "formation_enthalpy_0k_mev_per_atom": -595,
  "dft_energy_ev_per_atom": -6.4298
}